This record from Alexandria describes an optimized crystal structure of Co2SiAgO4. The functional is PBE+U.

Summary:
The mass density comes out at 5.31 g/cm3. As for the density of states at the Fermi level: 9.00 states/eV per cell. As for the uncorrected energy: -0.22421 hartree per atom.

Cell and atoms, written as CIF:
```
data_Co2SiAgO4
_symmetry_space_group_name_H-M 'F m m 2'
_symmetry_Int_Tables_number 42
_symmetry_space_group_name_Hall 'F 2 -2'
_cell_length_a 7.0018
_cell_length_b 7.0574
_cell_length_c 8.0460
_cell_angle_alpha 90.00
_cell_angle_beta 90.00
_cell_angle_gamma 90.00
loop_
_atom_site_label
_atom_site_fract_x
_atom_site_fract_y
_atom_site_fract_z
_atom_site_occupancy
Co1 0.2500 0.2500 0.0000 1
Si1 0.0000 0.0000 0.2465 1
Ag1 0.0000 0.0000 0.7538 1
O1 0.0000 0.1874 0.3702 1
O2 0.1895 0.0000 0.1212 1
```